No. 1
Ba3Ca2PaO8, optimized geometry, DFT PBE; E_form (uncorrected) = -2.717 eV/atom; calculated density = 5.2 g/cm³; DOS(E_F) = 13.44 states/eV per cell
1.0
-5.137 3.537 -0.885
-0.510 -5.681 2.674
1.027 3.288 7.181
Ba Ca Pa O
3 2 1 8
Cartesian
-1.408 -0.546 5.991 Ba
-3.211 1.691 2.980 Ba
0.000 0.000 0.000 Ba
-1.855 -1.977 2.867 Ca
-2.764 3.121 6.104 Ca
0.514 1.644 3.591 Pa
-1.101 0.438 8.140 O
-3.519 0.707 0.830 O
-0.899 -3.122 4.511 O
-3.720 4.267 4.460 O
-0.631 -0.140 3.107 O
-3.988 1.284 5.863 O
-3.596 -1.265 4.046 O
-1.023 2.410 4.924 O


No. 2
Sm4TmBi2, optimized geometry, DFT PBE; calculated density = 7.9 g/cm³; formation energy from the elements = 187 meV/atom; DOS(E_F) = 6.45 states/eV per cell
1.0
-2.972 -2.147 -3.960
4.480 -0.909 -2.869
-0.004 -6.163 7.022
Sm Tm Bi
4 1 2
Cartesian
1.232 -6.430 -1.116 Sm
0.272 -2.789 1.308 Sm
2.240 -0.454 -1.435 Sm
-1.486 -1.073 -1.980 Sm
0.000 0.000 0.000 Tm
0.955 -3.597 -2.444 Bi
0.548 -5.622 2.637 Bi


No. 3
ZrTl2Fe, optimized geometry, DFT PBE; calculated density = 10.0 g/cm³; formation energy from the elements = 287 meV/atom; DOS(E_F) = 3.82 states/eV per cell
1.0
-0.116 8.633 -3.978
-3.036 7.397 -5.142
-2.902 8.811 -2.077
Fe Tl Zr
1 2 1
Cartesian
-4.584 18.809 -8.478 Fe
-0.082 0.336 -0.151 Tl
-1.485 6.095 -2.747 Tl
-2.930 12.022 -5.419 Zr


No. 4
La3DyPu2Te6, optimized geometry, DFT PBE; E_form (uncorrected) = -1.383 eV/atom; calculated density = 7.9 g/cm³; DOS(E_F) = 24.68 states/eV per cell
1.0
-6.042 4.150 -2.539
1.476 -6.972 -3.062
-2.792 -2.216 6.977
La Dy Pu Te
3 1 2 6
Cartesian
-1.188 -6.204 0.515 La
-6.170 1.166 0.862 La
-3.679 -2.519 0.688 La
0.000 0.000 0.000 Dy
-1.034 -3.259 -2.887 Pu
-3.532 0.436 -2.713 Pu
-6.827 -1.990 1.179 Te
-4.092 -2.647 -2.529 Te
-0.531 -3.049 0.197 Te
-4.343 -5.664 1.006 Te
-3.266 -2.391 3.906 Te
-3.015 0.625 0.370 Te


No. 5
NaIn5Ga2, optimized geometry, DFT PBE; calculated density = 6.2 g/cm³; formation energy from the elements = -1 meV/atom; DOS(E_F) = 3.51 states/eV per cell
1.0
6.006 0.924 -2.543
-2.271 5.635 -2.545
-0.570 -0.998 6.262
Na In Ga
1 5 2
Cartesian
2.905 5.103 -3.957 Na
0.753 1.323 1.718 In
-0.668 3.640 3.576 In
3.471 1.287 3.576 In
2.619 4.602 -0.827 In
0.468 0.821 4.850 In
-0.381 4.144 0.444 Ga
3.757 1.789 0.445 Ga


No. 6
CePrSm2As4, optimized geometry, DFT PBE; calculated density = 6.8 g/cm³; formation energy from the elements = -1499 meV/atom; DOS(E_F) = 6.43 states/eV per cell
1.0
-0.934 -3.424 2.318
6.698 0.205 3.000
-4.614 4.006 4.058
Ce Pr Sm As
1 1 2 4
Cartesian
2.882 -1.610 2.659 Ce
0.000 0.000 0.000 Pr
-2.774 0.291 3.188 Sm
1.042 2.105 3.529 Sm
0.079 -0.649 2.949 As
1.071 1.436 6.428 As
-1.761 3.056 3.804 As
3.845 1.155 3.254 As